Here is a relaxed Gd2TeN crystal from Alexandria. Energies are from PBE.

Calculated values
magnetic moment	14.24	μB per formula unit
E_form (uncorrected)	-1376.5	meV per atom

abc: 3.8025 3.8025 20.9957
angles: 90.00 90.00 120.00
Space group R-3m (No. 166, hexagonal axes)
Symmetry-distinct sites (fractional):
Gd  0.0000  0.0000  0.2282 (multiplicity 6)
Te  0.0000  0.0000  0.0000 (multiplicity 3)
N  0.0000  0.0000  0.5000 (multiplicity 3)

---

Here is a relaxed ZrIrO2 crystal from Alexandria. Energies are from PBE.

Calculated values
magnetic moment	0.64	μB per formula unit
E above lowest polymorph	278	meV per atom
E_form (uncorrected)	-1293.2	meV per atom

abc: 4.049 4.049 13.035
angles: 90.00 90.00 90.00
Space group I-42d (No. 122)
Symmetry-distinct sites (fractional):
Zr  0.000  0.000  0.000 (multiplicity 4)
Ir  0.000  0.000  0.500 (multiplicity 4)
O  0.248  0.250  0.125 (multiplicity 8)

---

Here is a relaxed TlP2Se crystal from Alexandria. Energies are from PBE.

Calculated values
magnetic moment	0.00	μB per formula unit
E above lowest polymorph	319	meV per atom
E_form (uncorrected)	385.8	meV per atom

abc: 3.9562 3.9562 18.6583
angles: 90.00 90.00 120.00
Space group R-3m (No. 166, hexagonal axes)
Symmetry-distinct sites (fractional):
Tl  0.0000  0.0000  0.0000 (multiplicity 3)
P  0.0000  0.0000  0.2394 (multiplicity 6)
Se  0.0000  0.0000  0.5000 (multiplicity 3)

---

Here is a relaxed CaLa3C crystal from Alexandria. Energies are from PBE.

Calculated values
magnetic moment	0.00	μB per formula unit
E above lowest polymorph	65	meV per atom
formation energy from the elements	0.0605	eV/atom

abc: 5.404 5.404 5.404
angles: 90.00 90.00 90.00
Space group Pm-3m (No. 221)
Symmetry-distinct sites (fractional):
Ca  0.000  0.000  0.000 (multiplicity 1)
La  0.000  0.500  0.500 (multiplicity 3)
C  0.500  0.500  0.500 (multiplicity 1)